1.
VASP calculation (PBE) on a relaxed structure of Zr2Be3.

Cell: 3.7250 3.7250 18.9452 Å, 90.00 90.00 120.00°
Space group R-3m (No. 166, hexagonal axes)
Unique sites:
Zr 0.0000 0.0000 0.0870 [6 per cell]
Be 0.0000 0.0000 0.3387 [6 per cell]
Be 0.0000 0.0000 0.5000 [3 per cell]

Computed properties:
E_tot = -5.65 eV/atom
E above lowest polymorph = 9.5 kJ per mole of atoms
ΔE_f = 0 meV/atom
DOS(E_F) = 13.613 states/eV/cell



2.
VASP calculation (PBE) on a relaxed structure of PmCdInGe.

Cell: 4.3734 4.4011 4.9538 Å, 90.00 90.00 90.00°
Space group Pmmm (No. 47)
Unique sites:
Pm 0.0000 0.0000 0.0000 [1 per cell]
Cd 0.5000 0.0000 0.5000 [1 per cell]
In 0.0000 0.5000 0.5000 [1 per cell]
Ge 0.5000 0.5000 0.0000 [1 per cell]

Computed properties:
E_tot = -3.70 eV/atom
E above lowest polymorph = 0.0 kJ per mole of atoms
ΔE_f = -443 meV/atom
DOS(E_F) = 1.609 states/eV/cell



3.
VASP calculation (PBE) on a relaxed structure of ErTl3As2O6.

Cell: 5.9865 5.9865 7.3546 Å, 90.00 90.00 120.00°
Space group P-3m1 (No. 164)
Unique sites:
Er 0.0000 0.0000 0.0000 [1 per cell]
Tl 0.0000 0.0000 0.5000 [1 per cell]
Tl 0.3333 0.6667 0.1803 [2 per cell]
As 0.3333 0.6667 0.7141 [2 per cell]
O 0.1787 0.3574 0.8254 [6 per cell]

Computed properties:
E_tot = -5.80 eV/atom
DOS(E_F) = 0.000 states/eV/cell
E_form (uncorrected) = -1570 meV per atom



4.
VASP calculation (PBE) on a relaxed structure of SrInIr3.

Cell: 4.9654 4.9654 4.9654 Å, 90.00 90.00 90.00°
Space group Pm-3m (No. 221)
Unique sites:
Sr 0.0000 0.0000 0.0000 [1 per cell]
In 0.5000 0.5000 0.5000 [1 per cell]
Ir 0.0000 0.5000 0.5000 [3 per cell]

Computed properties:
E_tot = -5.06 eV/atom
E above lowest polymorph = 0.0 kJ per mole of atoms
ΔE_f = 1138 meV/atom
DOS(E_F) = 7.234 states/eV/cell



5.
VASP calculation (PBE) on a relaxed structure of ZnCd5.

Cell: 5.6755 5.6755 5.3470 Å, 90.00 90.00 120.00°
Space group P6/mmm (No. 191)
Unique sites:
Zn 0.0000 0.0000 0.0000 [1 per cell]
Cd 0.0000 0.5000 0.5000 [3 per cell]
Cd 0.3333 0.6667 0.0000 [2 per cell]

Computed properties:
E_tot = -0.77 eV/atom
E above lowest polymorph = 17.6 kJ per mole of atoms
ΔE_f = 209 meV/atom
DOS(E_F) = 2.164 states/eV/cell



Repeat the fifth record exactly.
VASP calculation (PBE) on a relaxed structure of ZnCd5.

Cell: 5.6755 5.6755 5.3470 Å, 90.00 90.00 120.00°
Space group P6/mmm (No. 191)
Unique sites:
Zn 0.0000 0.0000 0.0000 [1 per cell]
Cd 0.0000 0.5000 0.5000 [3 per cell]
Cd 0.3333 0.6667 0.0000 [2 per cell]

Computed properties:
E_tot = -0.77 eV/atom
E above lowest polymorph = 17.6 kJ per mole of atoms
ΔE_f = 209 meV/atom
DOS(E_F) = 2.164 states/eV/cell



> Which of these has the lowest E_tot?

ErTl3As2O6



> Number 5 is which compound?

ZnCd5



> E_tot of number 3 (ErTl3As2O6)?

-5.80 eV/atom